a) ## Sr2TlAgH (PBE-GGA)

Data for crystalline Sr2TlAgH at its relaxed geometry.

```
data_Sr2TlAgH
_cell_length_a 5.570
_cell_length_b 5.570
_cell_length_c 4.093
_cell_angle_alpha 90.00
_cell_angle_beta 90.00
_cell_angle_gamma 90.00
_symmetry_space_group_name_H-M 'P 4/m m m'
_symmetry_Int_Tables_number 123
_symmetry_space_group_name_Hall '-P 4 2'
loop_
_atom_site_label
_atom_site_type_symbol
_atom_site_fract_x
_atom_site_fract_y
_atom_site_fract_z
Sr1 Sr 0.000 0.500 0.000
Tl1 Tl 0.000 0.000 0.500
Ag1 Ag 0.500 0.500 0.500
H1 H 0.500 0.500 0.000
```

b) ## Sr2TlAgH (PBE-GGA)

Data for crystalline Sr2TlAgH at its relaxed geometry.

```
data_Sr2TlAgH
_cell_length_a 5.284
_cell_length_b 5.284
_cell_length_c 4.646
_cell_angle_alpha 90.00
_cell_angle_beta 90.00
_cell_angle_gamma 90.00
_symmetry_space_group_name_H-M 'P 4/m m m'
_symmetry_Int_Tables_number 123
_symmetry_space_group_name_Hall '-P 4 2'
loop_
_atom_site_label
_atom_site_type_symbol
_atom_site_fract_x
_atom_site_fract_y
_atom_site_fract_z
Sr1 Sr 0.000 0.500 0.000
Tl1 Tl 0.000 0.000 0.500
Ag1 Ag 0.500 0.500 0.500
H1 H 0.000 0.000 0.000
```

Winner for stability: a)